1.
{
  "formula": "PrNd6Cd2",
  "functional": "PBE",
  "state": "relaxed",
  "delta_e_f_ev_per_atom": -0.133,
  "dft_energy_ev_per_atom": -4.05,
  "polymorph_energy_mev_per_atom": 0.0,
  "dos_at_fermi_per_ev_cell": 9.36,
  "space_group": "C2/m (12)",
  "total_magnetization_mub_per_cell": 0.00,
  "lattice_angstrom": [[3.8156, 0.0000, 0.6058], [1.6771, 6.3388, 1.7562], [0.0291, -0.1059, 12.1361]],
  "species": ["Nd", "Nd", "Nd", "Nd", "Nd", "Nd", "Cd", "Cd", "Pr"],
  "frac_coords": [[0.6843, 0.5074, 0.1240], [0.3157, 0.4926, 0.8760], [0.0187, 0.3016, 0.6610], [0.9813, 0.6984, 0.3390], [0.3116, 0.7903, 0.5865], [0.6884, 0.2097, 0.4135], [0.6474, 0.9132, 0.7920], [0.3526, 0.0868, 0.2080], [0.0000, 0.0000, 0.0000]]
}

***

2.
{
  "formula": "Pr5Nd4Cd2",
  "functional": "PBE",
  "state": "relaxed",
  "delta_e_f_ev_per_atom": -0.017,
  "dft_energy_ev_per_atom": -4.09,
  "dos_at_fermi_per_ev_cell": 14.88,
  "space_group": "P2/m (10)",
  "total_magnetization_mub_per_cell": 0.00,
  "lattice_angstrom": [[3.5913, 0.0000, 0.0000], [0.0000, 8.8932, -0.0362], [0.0000, -0.9035, 11.4583]],
  "species": ["Nd", "Nd", "Nd", "Nd", "Pr", "Pr", "Pr", "Pr", "Pr", "Cd", "Cd"],
  "frac_coords": [[0.5000, 0.2549, 0.4501], [0.5000, 0.8457, 0.1280], [0.5000, 0.1543, 0.8720], [0.5000, 0.7451, 0.5499], [0.0000, 0.5000, 0.0000], [0.0000, 0.5554, 0.3027], [0.0000, 0.4446, 0.6973], [0.0000, 0.8033, 0.8372], [0.0000, 0.1967, 0.1628], [0.0000, 0.9411, 0.3677], [0.0000, 0.0589, 0.6323]]
}

***

3.
{
  "formula": "PrNd2Cd9",
  "functional": "PBE",
  "state": "relaxed",
  "delta_e_f_ev_per_atom": -0.255,
  "dft_energy_ev_per_atom": -2.13,
  "dos_at_fermi_per_ev_cell": 8.69,
  "space_group": "R-3m (166)",
  "total_magnetization_mub_per_cell": 0.00,
  "lattice_angstrom": [[6.0117, 0.0000, 0.0000], [3.0059, 5.2063, 0.0000], [3.0059, 1.7354, 9.6453]],
  "species": ["Cd", "Cd", "Cd", "Cd", "Cd", "Cd", "Cd", "Cd", "Cd", "Nd", "Nd", "Pr"],
  "frac_coords": [[0.4121, 0.9226, 0.2531], [0.5000, 0.5000, 0.5000], [0.6649, 0.6649, 0.0053], [0.5879, 0.0774, 0.7469], [0.5879, 0.5879, 0.7469], [0.4121, 0.4121, 0.2531], [0.9226, 0.4121, 0.2531], [0.0774, 0.5879, 0.7469], [0.3351, 0.3351, 0.9947], [0.1410, 0.1410, 0.5771], [0.8590, 0.8590, 0.4229], [0.0000, 0.0000, 0.0000]]
}

***

4.
{
  "formula": "Pr6Nd5Cd",
  "functional": "PBE",
  "state": "relaxed",
  "delta_e_f_ev_per_atom": -0.018,
  "dft_energy_ev_per_atom": -4.47,
  "dos_at_fermi_per_ev_cell": 16.56,
  "space_group": "Immm (71)",
  "total_magnetization_mub_per_cell": 0.00,
  "lattice_angstrom": [[4.9834, -0.0038, -1.3966], [-3.5216, 8.4921, -2.9987], [0.0219, 0.1957, 9.6680]],
  "species": ["Nd", "Nd", "Nd", "Nd", "Nd", "Pr", "Pr", "Pr", "Pr", "Pr", "Pr", "Cd"],
  "frac_coords": [[0.0000, 0.3360, 0.6640], [0.5000, 0.1697, 0.8303], [0.0000, 0.6640, 0.3360], [0.5000, 0.5000, 0.5000], [0.5000, 0.8303, 0.1697], [0.7449, 0.2445, 0.2445], [0.7556, 0.9199, 0.5921], [0.7556, 0.5921, 0.9199], [0.2551, 0.7555, 0.7555], [0.2444, 0.0801, 0.4079], [0.2444, 0.4079, 0.0801], [0.0000, 0.0000, 0.0000]]
}

***

5.
{
  "formula": "Pr2Nd7Cd2",
  "functional": "PBE",
  "state": "relaxed",
  "delta_e_f_ev_per_atom": 0.031,
  "dft_energy_ev_per_atom": -4.04,
  "dos_at_fermi_per_ev_cell": 16.64,
  "space_group": "C2/m (12)",
  "total_magnetization_mub_per_cell": 0.00,
  "lattice_angstrom": [[-0.1192, 5.2244, 6.5054], [5.6303, -2.0946, 3.1640], [2.9896, 5.3723, -2.8809]],
  "species": ["Cd", "Cd", "Nd", "Nd", "Nd", "Nd", "Nd", "Nd", "Nd", "Pr", "Pr"],
  "frac_coords": [[0.1368, 0.6053, 0.6053], [0.8632, 0.3947, 0.3947], [0.1712, 0.1151, 0.5245], [0.8288, 0.4755, 0.8849], [0.0000, 0.0000, 0.0000], [0.5327, 0.3089, 0.3089], [0.4673, 0.6911, 0.6911], [0.8288, 0.8849, 0.4755], [0.1712, 0.5245, 0.1151], [0.5000, 0.8190, 0.1810], [0.5000, 0.1810, 0.8190]]
}

***

6.
{
  "formula": "Pr2Nd2Cd",
  "functional": "PBE",
  "state": "relaxed",
  "delta_e_f_ev_per_atom": -0.049,
  "dft_energy_ev_per_atom": -4.05,
  "polymorph_energy_mev_per_atom": 67.2,
  "dos_at_fermi_per_ev_cell": 11.02,
  "space_group": "C2/m (12)",
  "total_magnetization_mub_per_cell": 0.00,
  "lattice_angstrom": [[-6.1188, 0.9493, -6.2112], [-6.4051, -0.8788, -0.0165], [-4.5692, 8.0426, -1.4249]],
  "species": ["Nd", "Nd", "Nd", "Nd", "Pr", "Pr", "Pr", "Pr", "Cd", "Cd"],
  "frac_coords": [[0.0479, 0.6255, 0.7196], [0.6734, 0.3745, 0.7196], [0.9521, 0.3745, 0.2804], [0.3266, 0.6255, 0.2804], [0.7325, 0.0000, 0.4265], [0.4044, 0.0000, 0.8819], [0.2675, 0.0000, 0.5735], [0.5956, 0.0000, 0.1181], [0.8434, 0.3132, 0.0000], [0.1566, 0.6868, 0.0000]]
}

***

7.
{
  "formula": "Pr4Nd3Cd",
  "functional": "PBE",
  "state": "relaxed",
  "delta_e_f_ev_per_atom": -0.041,
  "dft_energy_ev_per_atom": -4.33,
  "polymorph_energy_mev_per_atom": 0.0,
  "dos_at_fermi_per_ev_cell": 17.78,
  "space_group": "Pmn2_1 (31)",
  "total_magnetization_mub_per_cell": 0.00,
  "lattice_angstrom": [[-4.8236, 2.2862, -3.4581], [0.1290, -5.9771, -4.1315], [-7.6012, -5.1428, 7.2027]],
  "species": ["Cd", "Cd", "Nd", "Nd", "Nd", "Nd", "Nd", "Nd", "Pr", "Pr", "Pr", "Pr", "Pr", "Pr", "Pr", "Pr"],
  "frac_coords": [[0.4739, 0.8840, 0.5000], [0.9739, 0.1160, 0.0000], [0.1473, 0.8807, 0.2355], [0.6473, 0.1193, 0.2645], [0.6473, 0.1193, 0.7355], [0.1473, 0.8807, 0.7645], [0.4995, 0.8757, 0.0000], [0.9995, 0.1243, 0.5000], [0.6440, 0.6343, 0.2665], [0.4578, 0.3859, 0.5000], [0.9578, 0.6141, 0.0000], [0.5014, 0.3658, 0.0000], [0.1440, 0.3657, 0.2335], [0.1440, 0.3657, 0.7665], [0.0014, 0.6342, 0.5000], [0.6440, 0.6343, 0.7335]]
}

***

8.
{
  "formula": "Pr5Nd5Cd2",
  "functional": "PBE",
  "state": "relaxed",
  "delta_e_f_ev_per_atom": -0.067,
  "dft_energy_ev_per_atom": -4.20,
  "dos_at_fermi_per_ev_cell": 15.06,
  "space_group": "C2/m (12)",
  "total_magnetization_mub_per_cell": 0.00,
  "lattice_angstrom": [[5.6370, 0.0000, 0.0000], [-2.8185, 6.2423, 0.0057], [0.0000, -0.0054, 11.4387]],
  "species": ["Nd", "Nd", "Nd", "Nd", "Nd", "Cd", "Cd", "Pr", "Pr", "Pr", "Pr", "Pr"],
  "frac_coords": [[0.0000, 0.0000, 0.0000], [0.6820, 0.3640, 0.4647], [0.1827, 0.3655, 0.2507], [0.3180, 0.6360, 0.5353], [0.8173, 0.6345, 0.7493], [0.8531, 0.7062, 0.2496], [0.1469, 0.2938, 0.7504], [0.5207, 0.0413, 0.7492], [0.0000, 0.0000, 0.5000], [0.6810, 0.3621, 0.0348], [0.3190, 0.6379, 0.9652], [0.4793, 0.9587, 0.2508]]
}